The following is a DFT calculation (PBE+U) of a relaxed structure of V2BiSbO8.

Unit cell a=5.828 b=5.828 c=6.735 alpha=90.00 beta=90.00 gamma=120.00
Atoms (fractional coordinates):
V 0.667 0.333 0.192
V 0.333 0.667 0.808
O 0.667 0.333 0.948
O 0.838 0.675 0.266
O 0.162 0.325 0.734
O 0.333 0.667 0.052
O 0.837 0.162 0.266
O 0.675 0.837 0.734
O 0.163 0.838 0.734
O 0.325 0.163 0.266
Bi 0.000 0.000 0.000
Sb 0.000 0.000 0.500

Values from the calculation:
Space-group type = No. 164
Total energy = -6.762 eV per atom